(1)
SrCdAu3: relaxed, GGA-PBEsol.

Computed properties:
space group = Pm-3m
relative energy among the computed polymorphs = 0 meV/atom

Lattice parameters (Å, degrees): 5.115 5.115 5.115 90.00 90.00 90.00
Atoms (fractional coordinates):
1 Sr 0.000 0.000 0.000
2 Cd 0.500 0.500 0.500
3 Au 0.000 0.500 0.500
4 Au 0.500 0.000 0.500
5 Au 0.500 0.500 0.000

(2)
SrCdAu3: relaxed, GGA-PBEsol.

Computed properties:
space group = Pm-3m
relative energy among the computed polymorphs = 825 meV/atom

Lattice parameters (Å, degrees): 5.552 5.552 5.552 90.00 90.00 90.00
Atoms (fractional coordinates):
1 Sr 0.000 0.000 0.000
2 Cd 0.500 0.500 0.500
3 Au 0.000 0.000 0.500
4 Au 0.000 0.500 0.000
5 Au 0.500 0.000 0.000

(3)
Ta2CdAu: relaxed, GGA-PBEsol.

Computed properties:
final energy = -28.5 eV per cell
space group = F-43m

Lattice parameters (Å, degrees): 4.668 4.668 4.668 60.00 60.00 60.00
Atoms (fractional coordinates):
1 Ta 0.000 0.000 0.000
2 Ta 0.250 0.250 0.250
3 Cd 0.750 0.750 0.750
4 Au 0.500 0.500 0.500

no.,ρ (g/cm3),total magnetic moment (Bohr magnetons per cell)
1,9.816,0.00
2,7.676,0.00
3,15.500,0.00